DFT (PBE) results for a geometry-optimized LiSb2Se structure.

Values from the calculation:
Raw formation energy, eV per atom: -0.143
Theoretical density, g/cm³: 5.63
Total magnetic moment, Bohr magnetons per cell: 0.0

```
LiSb2Se
1.0
-5.7030 -1.7365 1.3786
-3.0620 -3.8599 -3.6284
5.4748 0.4566 2.6941
Li Sb Se
1 2 1
direct
0.2500 0.7500 0.5000
0.0000 0.0000 0.0000
0.5000 0.5000 0.0000
0.7500 0.2500 0.5000
```